# MnReNi2Pt PBE optimized geometry
# VASP energy (eV per formula unit): -29.157
# Formation energy (eV per atom): 2.01
# Crystal system: tetragonal
# Total moment (μB/atom): 0.1750
# DOS(E_F) (states/eV/f.u.): 9.60
data_MnReNi2Pt
_chemical_formula_sum 'Mn1 Re1 Ni2 Pt1'
_space_group_name_H-M_alt 'P 4/m m m'
_space_group_IT_number 123
_space_group_name_Hall '-P 4 2'
_cell_length_a 4.5150
_cell_length_b 4.5150
_cell_length_c 4.7140
_cell_angle_alpha 90.00
_cell_angle_beta 90.00
_cell_angle_gamma 90.00
loop_
_atom_site_label
_atom_site_fract_x
_atom_site_fract_y
_atom_site_fract_z
Mn1 0.0000 0.0000 0.0000
Re1 0.5000 0.5000 0.0000
Ni1 0.0000 0.5000 0.5000
Pt1 0.5000 0.5000 0.5000